No. 1
! Na3AgTe (PBE, relaxed); values from VASP
! energy = -11.442 eV for the cell shown
! energy relative to the lowest polymorph listed for this composition = 0.00 eV/f.u.
&SYSTEM
  ibrav = 0, nat = 5, ntyp = 3
/
ATOMIC_SPECIES
Na 22.99 Na.upf
Te 127.60 Te.upf
Ag 107.87 Ag.upf
ATOMIC_POSITIONS crystal
Na 0.000 0.500 0.000
Na 0.000 0.000 0.500
Na 0.500 0.000 0.000
Te 0.000 0.000 0.000
Ag 0.500 0.500 0.500
CELL_PARAMETERS angstrom
5.857 0.000 0.000
0.000 5.857 0.000
0.000 0.000 5.857

No. 2
! NaAgTe (PBE, relaxed); values from VASP
! energy = -17.333 eV for the cell shown
&SYSTEM
  ibrav = 0, nat = 6, ntyp = 3
/
ATOMIC_SPECIES
Na 22.99 Na.upf
Ag 107.87 Ag.upf
Te 127.60 Te.upf
ATOMIC_POSITIONS crystal
Na 0.599 0.197 0.659
Na 0.401 0.803 0.341
Ag 0.711 0.422 0.094
Ag 0.289 0.578 0.906
Te 0.876 0.751 0.721
Te 0.124 0.249 0.279
CELL_PARAMETERS angstrom
4.694 0.000 0.000
-2.347 5.249 0.888
0.000 0.284 7.564

No. 3
! NaAg12Te7 (PBE, relaxed); values from VASP
! energy = -57.722 eV for the cell shown
&SYSTEM
  ibrav = 0, nat = 20, ntyp = 3
/
ATOMIC_SPECIES
Ag 107.87 Ag.upf
Te 127.60 Te.upf
Na 22.99 Na.upf
ATOMIC_POSITIONS crystal
Ag 0.748 0.374 0.640
Ag 0.813 0.778 0.793
Ag 0.035 0.429 0.778
Ag 0.388 0.640 0.986
Ag 0.252 0.626 0.360
Ag 0.187 0.222 0.207
Ag 0.612 0.360 0.014
Ag 0.374 0.986 0.374
Ag 0.394 0.207 0.571
Ag 0.626 0.014 0.626
Ag 0.965 0.571 0.222
Ag 0.606 0.793 0.429
Te 0.820 0.220 0.203
Te 0.977 0.797 0.423
Te 0.500 0.000 0.000
Te 0.023 0.203 0.577
Te 0.400 0.423 0.780
Te 0.180 0.780 0.797
Te 0.600 0.577 0.220
Na 0.000 0.000 0.000
CELL_PARAMETERS angstrom
-5.313 4.411 4.800
7.760 0.197 3.498
2.715 8.053 0.516

No. 4
! Na3Ag2Te3 (PBE, relaxed); values from VASP
! energy = -46.506 eV for the cell shown
! energy relative to the lowest polymorph listed for this composition = 0.00 eV/f.u.
&SYSTEM
  ibrav = 0, nat = 16, ntyp = 3
/
ATOMIC_SPECIES
Ag 107.87 Ag.upf
Na 22.99 Na.upf
Te 127.60 Te.upf
ATOMIC_POSITIONS crystal
Ag 0.765 0.529 0.600
Ag 0.235 0.471 0.100
Ag 0.765 0.529 0.900
Ag 0.235 0.471 0.400
Na 0.927 0.853 0.391
Na 0.329 0.658 0.750
Na 0.073 0.147 0.891
Na 0.073 0.147 0.609
Na 0.671 0.342 0.250
Na 0.927 0.853 0.109
Te 0.378 0.756 0.552
Te 0.622 0.244 0.448
Te 0.361 0.722 0.250
Te 0.622 0.244 0.052
Te 0.378 0.756 0.948
Te 0.639 0.278 0.750
CELL_PARAMETERS angstrom
-1.338 4.129 1.727
-1.529 -4.899 4.210
13.893 1.610 6.919

Number 1: total magnetization 0.000 μB/atom, ρ 2516 kg/m3, ΔE_f (raw) -1.49 eV/f.u.. Number 2: total magnetization 0.000 μB/atom, ρ 4635 kg/m3, ΔE_f (raw) -1.35 eV/f.u.. Number 3: total magnetization 0.000 μB/atom, ρ 7799 kg/m3, ΔE_f (raw) -0.20 eV/f.u.. Number 4: total magnetization 0.000 μB/atom, ρ 4895 kg/m3, ΔE_f (raw) -4.17 eV/f.u..